# La7Er4Sc (GGA-PBE, optimized geometry)
# Uncorrected energy (eV/atom): -4.5891
# Mass density (g cm⁻³): 6.70
# Size of the total moment (μB/cell): 0.0
# Formation energy (kcal/mol of atoms): 7.698
data_La7Er4Sc
_chemical_formula_sum 'La14 Er8 Sc2'
_cell_length_a 13.5330
_cell_length_b 5.7510
_cell_length_c 11.6205
_cell_angle_alpha 90.00
_cell_angle_beta 112.48
_cell_angle_gamma 90.00
_symmetry_space_group_name_H-M 'C 1 2/m 1'
_symmetry_Int_Tables_number 12
_symmetry_space_group_name_Hall '-C 2y'
loop_
_atom_site_label
_atom_site_fract_x
_atom_site_fract_y
_atom_site_fract_z
La1 0.0000 0.0000 0.0000
La2 0.0598 0.5000 0.3294
La3 0.1696 0.0000 0.5296
La4 0.2034 0.5000 0.9794
Er1 0.0733 0.0000 0.7643
Er2 0.2251 0.0000 0.2673
Sc1 0.0000 0.5000 0.0000